Crystalline YCoRe2 at its relaxed geometry, computed with PBE-GGA.

```
YCoRe2
1.0
-6.254 -2.882 -6.756
-5.931 -5.329 -5.429
-7.802 -3.464 -4.493
Re Y Co
2 1 1
direct
0.013 0.013 0.013 Re
0.487 0.487 0.487 Re
0.250 0.250 0.250 Y
0.750 0.750 0.750 Co
```

E_tot in eV/atom: -9.031
Total magnetization in μB per cell: 1.1
Polymorph energy (0 for the lowest one) in meV per atom: 452.2
Crystal system: trigonal



Crystalline YCo4Re at its relaxed geometry, computed with PBE-GGA.

```
YCo4Re
1.0
0.000 3.467 3.467
3.467 0.000 3.467
3.467 3.467 0.000
Co Y Re
4 1 1
direct
0.624 0.624 0.624 Co
0.128 0.624 0.624 Co
0.624 0.624 0.128 Co
0.624 0.128 0.624 Co
0.000 0.000 0.000 Y
0.250 0.250 0.250 Re
```

E_tot in eV/atom: -7.770
Total magnetization in μB per cell: 7.3
Crystal system: cubic



Crystalline Y2Co2Re at its relaxed geometry, computed with PBE-GGA.

```
Y2Co2Re
1.0
-1.284 5.292 3.383
-5.970 -2.102 1.022
1.351 -2.038 3.701
Co Y Re
4 4 2
direct
0.636 0.136 0.000 Co
0.136 0.364 0.000 Co
0.864 0.636 0.000 Co
0.364 0.864 0.000 Co
0.821 0.321 0.500 Y
0.179 0.679 0.500 Y
0.321 0.179 0.500 Y
0.679 0.821 0.500 Y
0.000 0.000 0.000 Re
0.500 0.500 0.000 Re
```

E_tot in eV/atom: -7.917
Total magnetization in μB per cell: 0.0
Crystal system: tetragonal



Crystalline YCoRe at its relaxed geometry, computed with PBE-GGA.

```
YCoRe
1.0
-1.273 -1.176 4.993
-3.342 -0.659 -4.041
-0.470 -5.092 1.337
Co Y Re
2 2 2
direct
0.000 0.500 0.500 Co
0.500 0.500 0.000 Co
0.250 0.122 0.628 Y
0.750 0.878 0.372 Y
0.000 0.500 0.000 Re
0.500 0.000 0.000 Re
```

E_tot in eV/atom: -8.809
Total magnetization in μB per cell: 1.5
Polymorph energy (0 for the lowest one) in meV per atom: 0.0
Crystal system: orthorhombic